[1]
An optimized crystal structure of K2Cd2O5, computed with PBE.

Computed properties:
The calculation puts the distance to the lowest polymorph of the same formula at 0.0 kJ per mole of atoms. As for the space group: P4/mmm, No. 123. For the theoretical density, the calculation gives 4.3 g/cm³. As for the electronic total energy: -3.70 eV/atom.

Cell: 8.892 4.094 4.094 Å, 90.00 90.00 90.00°
Fractional positions:
O 0.792 0.500 0.000
O 0.792 0.000 0.500
O 0.208 0.000 0.500
O 0.208 0.500 0.000
O 0.500 0.500 0.500
Cd 0.739 0.500 0.500
Cd 0.261 0.500 0.500
K 0.500 0.000 0.000
K 0.000 0.000 0.000

[2]
An optimized crystal structure of SmYZn2Pb2, computed with PBE.

Computed properties:
The calculation puts the distance to the lowest polymorph of the same formula at 0.4 kJ per mole of atoms. As for the space group: P6_3/mmc, No. 194. For the theoretical density, the calculation gives 8.7 g/cm³. As for the electronic total energy: -3.96 eV/atom.

Cell: 4.621 4.621 16.201 Å, 90.00 90.00 120.00°
Fractional positions:
Zn 0.333 0.667 0.837
Zn 0.333 0.667 0.663
Zn 0.667 0.333 0.163
Zn 0.667 0.333 0.337
Pb 0.333 0.667 0.391
Pb 0.333 0.667 0.109
Pb 0.667 0.333 0.609
Pb 0.667 0.333 0.891
Y 0.000 0.000 0.000
Y 0.000 0.000 0.500
Sm 0.000 0.000 0.250
Sm 0.000 0.000 0.750

[3]
An optimized crystal structure of InCuBrCl3, computed with PBE.

Computed properties:
As for the space group: P1, No. 1. For the theoretical density, the calculation gives 3.5 g/cm³. As for the electronic total energy: -3.06 eV/atom.

Cell: 5.657 5.674 6.605 Å, 65.58 64.74 89.72°
Fractional positions:
Cl 0.631 0.123 0.242
Cl 0.867 0.876 0.761
Cl 0.361 0.359 0.763
Br 0.144 0.636 0.239
In 0.748 0.248 0.501
Cu 0.999 0.007 0.994

[4]
An optimized crystal structure of SmThN2, computed with PBE.

Computed properties:
As for the space group: R-3m, No. 166. For the theoretical density, the calculation gives 10.2 g/cm³. As for the electronic total energy: -8.75 eV/atom.

Cell: 6.243 6.243 6.243 Å, 33.73 33.73 33.73°
Fractional positions:
Th 0.500 0.500 0.500
N 0.753 0.753 0.753
N 0.247 0.247 0.247
Sm 0.000 0.000 0.000